[1]
! Ba3LiPu2O9 (PBE, relaxed); values from VASP
&SYSTEM
  ibrav = 0, nat = 15, ntyp = 4
/
ATOMIC_SPECIES
Pu 244.00 Pu.upf
O 16.00 O.upf
Ba 137.33 Ba.upf
Li 6.94 Li.upf
CELL_PARAMETERS angstrom
6.042 0.000 0.000
-3.021 5.233 0.000
0.000 0.000 7.495
ATOMIC_POSITIONS crystal
Pu 0.667 0.333 0.830
O 0.500 0.500 0.000
O 0.653 0.826 0.325
Ba 0.667 0.333 0.356
Pu 0.333 0.667 0.170
O 0.826 0.653 0.675
O 0.174 0.826 0.325
O 0.826 0.174 0.675
Ba 0.000 0.000 0.000
O 0.000 0.500 0.000
O 0.347 0.174 0.675
O 0.500 0.000 0.000
Li 0.000 0.000 0.500
Ba 0.333 0.667 0.644
O 0.174 0.347 0.325
! formation energy without anion corrections: -2738.6 meV/atom

[2]
! AgPH2 (PBE, relaxed); values from VASP
&SYSTEM
  ibrav = 0, nat = 4, ntyp = 3
/
ATOMIC_SPECIES
Ag 107.87 Ag.upf
P 30.97 P.upf
H 1.01 H.upf
CELL_PARAMETERS angstrom
4.711 -0.030 -0.063
-2.347 3.766 -1.749
-0.066 -0.720 4.262
ATOMIC_POSITIONS crystal
Ag 0.269 0.367 0.385
P 0.732 0.290 0.451
H 0.525 0.881 0.314
H 0.809 0.426 0.839
! ΔE to the lowest computed polymorph: 0.0 kJ/mol of atoms